## AcZnCrH6 (PBE)

Data for a geometry-optimized AcZnCrH6 structure.

Geometry as POSCAR:
```
AcZnCrH6
1.0
4.629 0.000 -0.001
2.314 4.008 0.001
0.001 -0.001 4.764
H Cr Ac Zn
6 1 1 1
Cartesian
1.246 1.952 3.586
3.383 1.952 3.586
2.315 0.103 1.178
2.315 0.102 3.586
3.382 1.952 1.178
1.246 1.953 1.179
2.314 1.335 2.382
0.001 -0.001 4.764
4.629 2.672 2.382
```

## Properties
E_tot, eV per atom: -4.1266